The following is a PBE calculation of crystalline DyHoIn2Ir4 at its relaxed geometry, from OQMD.

It has space group P-6m2 (No. 187), with a = 4.5625 Å, b = 4.5625 Å, c = 8.8753 Å, α = 90.00°, β = 90.00° and γ = 120.00°. The inequivalent atoms are Dy at (0.0000, 0.0000, 0.0000), Ho at (0.3333, 0.6667, 0.5000), In at (0.6667, 0.3333, 0.2501), Ir at (0.0000, 0.0000, 0.3555) and Ir at (0.3333, 0.6667, 0.1456).

As for the final energy: -6.6923 eV/atom.